Compound: PmAl5Cu3
Source: Alexandria
Functional: PBE-GGA
Structure: optimized geometry

Formation energy, kJ per mole of atoms: -28.0
E_tot, eV/atom: -4.2631
Size of the total moment, μB/cell: 0.00

Cell lengths 3.927, 6.586, 12.560 Å; angles 90.00, 90.00, 107.35 degrees
Sites, in units of the cell vectors:
1 Pm 0.845 0.689 0.750
2 Pm 0.155 0.311 0.250
3 Al 0.800 0.600 0.434
4 Al 0.200 0.400 0.934
5 Al 0.000 0.000 0.500
6 Al 0.000 0.000 0.000
7 Al 0.443 0.887 0.149
8 Al 0.557 0.113 0.851
9 Al 0.557 0.113 0.649
10 Al 0.800 0.600 0.066
11 Al 0.200 0.400 0.566
12 Al 0.443 0.887 0.351
13 Cu 0.389 0.778 0.953
14 Cu 0.869 0.737 0.250
15 Cu 0.389 0.778 0.547
16 Cu 0.611 0.222 0.453
17 Cu 0.131 0.263 0.750
18 Cu 0.611 0.222 0.047